## CeGaCo (PBEsol)

Data for an optimized crystal structure of CeGaCo.

Properties
- VASP energy: -38.78 eV/cell
- Total magnetic moment: 0.00 μB/f.u.

Unit cell a=4.340 b=4.647 c=5.823 alpha=105.01 beta=111.88 gamma=90.00
Sites, in units of the cell vectors:
Co 0.190 0.837 0.380
Co 0.810 0.163 0.620
Ce 0.869 0.667 0.739
Ce 0.131 0.333 0.261
Ga 0.584 0.817 0.167
Ga 0.416 0.183 0.833